1.
Compound: ZrAsRh
Source: the Alexandria database
Functional: PBE-GGA
Structure: relaxed

Unit cell a=4.263 b=4.508 c=10.662 alpha=90.00 beta=90.00 gamma=90.00
Fractional positions:
Zr 0.000 0.000 0.000
Zr 0.000 0.500 0.500
Zr 0.500 0.000 0.500
Zr 0.500 0.500 0.000
As 0.000 0.000 0.677
As 0.000 0.500 0.177
As 0.500 0.000 0.177
As 0.500 0.500 0.677
Rh 0.000 0.000 0.311
Rh 0.000 0.500 0.811
Rh 0.500 0.000 0.811
Rh 0.500 0.500 0.311

Values from the calculation:
**Total energy**: -22.23 eV/f.u.



2.
Compound: Rb2BaYF6
Source: the Alexandria database
Functional: PBE-GGA
Structure: relaxed

Unit cell a=6.910 b=6.910 c=6.910 alpha=60.00 beta=60.00 gamma=60.00
Fractional positions:
Rb 0.250 0.250 0.250
Rb 0.750 0.750 0.750
Ba 0.000 0.000 0.000
Y 0.500 0.500 0.500
F 0.272 0.272 0.728
F 0.272 0.728 0.272
F 0.272 0.728 0.728
F 0.728 0.272 0.272
F 0.728 0.272 0.728
F 0.728 0.728 0.272

Values from the calculation:
**Total energy**: -54.07 eV/f.u.



3.
Compound: LaHoIrPd
Source: the Alexandria database
Functional: PBE-GGA
Structure: relaxed

Unit cell a=7.088 b=7.088 c=7.088 alpha=90.00 beta=90.00 gamma=90.00
Fractional positions:
La 0.000 0.000 0.000
La 0.000 0.500 0.500
La 0.500 0.000 0.500
La 0.500 0.500 0.000
Ho 0.000 0.000 0.500
Ho 0.000 0.500 0.000
Ho 0.500 0.000 0.000
Ho 0.500 0.500 0.500
Ir 0.250 0.250 0.250
Ir 0.250 0.750 0.750
Ir 0.750 0.250 0.750
Ir 0.750 0.750 0.250
Pd 0.250 0.250 0.750
Pd 0.250 0.750 0.250
Pd 0.750 0.250 0.250
Pd 0.750 0.750 0.750

Values from the calculation:
**Total energy**: -26.68 eV/f.u.



4.
Compound: KBeW4
Source: the Alexandria database
Functional: PBE-GGA
Structure: relaxed

Unit cell a=5.426 b=5.426 c=5.426 alpha=60.00 beta=60.00 gamma=60.00
Fractional positions:
K 0.000 0.000 0.000
Be 0.250 0.250 0.250
W 0.123 0.626 0.626
W 0.626 0.123 0.626
W 0.626 0.626 0.123
W 0.626 0.626 0.626

Values from the calculation:
**Total energy**: -48.10 eV/f.u.



5.
Compound: SnAuO2
Source: the Alexandria database
Functional: PBE-GGA
Structure: relaxed

Unit cell a=5.364 b=5.364 c=9.787 alpha=90.00 beta=90.00 gamma=90.00
Fractional positions:
Sn 0.000 0.000 0.000
Sn 0.000 0.500 0.250
Sn 0.500 0.000 0.750
Sn 0.500 0.500 0.500
Au 0.000 0.000 0.500
Au 0.000 0.500 0.750
Au 0.500 0.000 0.250
Au 0.500 0.500 0.000
O 0.181 0.250 0.125
O 0.250 0.681 0.375
O 0.250 0.819 0.875
O 0.319 0.250 0.625
O 0.681 0.750 0.625
O 0.750 0.181 0.875
O 0.750 0.319 0.375
O 0.819 0.750 0.125

Values from the calculation:
**Total energy**: -19.39 eV/f.u.



6.
Compound: Pm7Dy4Tm
Source: the Alexandria database
Functional: PBE-GGA
Structure: relaxed

Unit cell a=6.291 b=7.254 c=8.953 alpha=89.98 beta=76.47 gamma=89.98
Fractional positions:
Pm 0.000 0.000 0.000
Pm 0.221 0.500 0.334
Pm 0.279 0.751 0.667
Pm 0.499 0.249 0.999
Pm 0.501 0.751 0.001
Pm 0.721 0.249 0.333
Pm 0.779 0.500 0.666
Dy 0.221 0.000 0.335
Dy 0.278 0.249 0.668
Dy 0.722 0.751 0.332
Dy 0.779 0.000 0.665
Tm 0.000 0.500 0.000

Values from the calculation:
**Polymorph energy (0 for the lowest one)**: 0.0 meV per atom



7.
Compound: DyYTeAs
Source: the Alexandria database
Functional: PBE-GGA
Structure: relaxed

Unit cell a=4.148 b=4.148 c=21.909 alpha=90.00 beta=90.00 gamma=120.00
Fractional positions:
Dy 0.000 0.000 0.000
Dy 0.333 0.667 0.667
Dy 0.667 0.333 0.333
Y 0.000 0.000 0.189
Y 0.333 0.667 0.856
Y 0.667 0.333 0.523
Te 0.000 0.000 0.427
Te 0.333 0.667 0.094
Te 0.667 0.333 0.761
As 0.000 0.000 0.597
As 0.333 0.667 0.264
As 0.667 0.333 0.930

Values from the calculation:
**Total energy**: -24.75 eV/f.u.



8.
Compound: BaSbRhF
Source: the Alexandria database
Functional: PBE-GGA
Structure: relaxed

Unit cell a=4.520 b=4.520 c=9.279 alpha=90.00 beta=90.00 gamma=90.00
Fractional positions:
Ba 0.250 0.250 0.159
Ba 0.750 0.750 0.841
Sb 0.250 0.250 0.643
Sb 0.750 0.750 0.357
Rh 0.250 0.750 0.500
Rh 0.750 0.250 0.500
F 0.250 0.750 0.000
F 0.750 0.250 0.000

Values from the calculation:
**Total energy**: -22.81 eV/f.u.